[1]
Density functional theory data (GGA-PBE) for an optimized crystal structure of CsBaNa2Au.

Cell: 6.193 6.193 6.244 Å, 90.00 90.00 90.00°
Fractional coordinates of all 5 atoms:
1 Ba 0.000 0.000 0.500
2 Na 0.000 0.500 0.000
3 Na 0.500 0.000 0.000
4 Cs 0.500 0.500 0.500
5 Au 0.000 0.000 0.000

## Properties
Energy of formation from the pure elements (eV per atom): -0.1352

---

[2]
Density functional theory data (GGA-PBE) for an optimized crystal structure of CsBaAuO2.

Cell: 5.813 7.965 8.186 Å, 119.11 90.00 90.00°
Fractional coordinates of all 10 atoms:
1 Au 0.000 0.000 0.000
2 Au 0.000 0.500 0.000
3 Cs 0.018 0.250 0.500
4 Cs 0.982 0.750 0.500
5 O 0.284 0.415 0.831
6 O 0.716 0.585 0.169
7 O 0.716 0.915 0.831
8 O 0.284 0.085 0.169
9 Ba 0.500 0.750 0.000
10 Ba 0.500 0.250 0.000

## Properties
Raw formation energy (eV/atom): -1.418

---

[3]
Density functional theory data (GGA-PBE) for an optimized crystal structure of CsBaPd2Au.

Cell: 5.264 7.395 5.264 Å, 90.00 90.00 90.00°
Fractional coordinates of all 5 atoms:
1 Pd 0.000 0.000 0.500
2 Pd 0.500 0.000 0.000
3 Cs 0.000 0.000 0.000
4 Au 0.500 0.500 0.500
5 Ba 0.000 0.500 0.000

## Properties
Energy of formation from the pure elements (eV per atom): 0.8284

---

[4]
Density functional theory data (GGA-PBE) for an optimized crystal structure of CsRbBa2Au.

Cell: 6.576 6.576 7.462 Å, 90.00 90.00 90.00°
Fractional coordinates of all 5 atoms:
1 Ba 0.000 0.500 0.000
2 Ba 0.500 0.000 0.000
3 Au 0.000 0.000 0.000
4 Rb 0.500 0.500 0.500
5 Cs 0.000 0.000 0.500

## Properties
Energy relative to the lowest polymorph listed for this composition (meV/atom): 0
Energy of formation from the pure elements (eV per atom): -0.1879

---

[5]
Density functional theory data (GGA-PBE) for an optimized crystal structure of Cs2RbBaAu.

Cell: 7.346 7.346 6.580 Å, 90.00 90.00 90.00°
Fractional coordinates of all 5 atoms:
1 Au 0.000 0.000 0.000
2 Rb 0.500 0.500 0.500
3 Ba 0.000 0.000 0.500
4 Cs 0.000 0.500 0.000
5 Cs 0.500 0.000 0.000

## Properties
Energy of formation from the pure elements (eV per atom): -0.1338

---

[6]
Density functional theory data (GGA-PBE) for an optimized crystal structure of CsRbBa2Au.

Cell: 6.565 6.565 7.401 Å, 90.00 90.00 90.00°
Fractional coordinates of all 5 atoms:
1 Cs 0.500 0.500 0.500
2 Rb 0.000 0.000 0.500
3 Ba 0.500 0.000 0.000
4 Ba 0.000 0.500 0.000
5 Au 0.000 0.000 0.000

## Properties
Energy relative to the lowest polymorph listed for this composition (meV/atom): 7
Energy of formation from the pure elements (eV per atom): -0.1812

---

no.,M_tot (μB/atom)
1,0.00
2,0.00
3,0.00
4,0.00
5,0.00
6,0.00